# LiAcThMg

An optimized crystal structure of LiAcThMg (PBE, Alexandria).

```
data_LiAcThMg
_symmetry_space_group_name_H-M 'F -4 3 m'
_symmetry_Int_Tables_number 216
_symmetry_space_group_name_Hall 'F -4 2 3'
_cell_length_a 7.856
_cell_length_b 7.856
_cell_length_c 7.856
_cell_angle_alpha 90.00
_cell_angle_beta 90.00
_cell_angle_gamma 90.00
loop_
_atom_site_label
_atom_site_fract_x
_atom_site_fract_y
_atom_site_fract_z
_atom_site_occupancy
Li1 0.000 0.000 0.000 1
Ac1 0.250 0.250 0.250 1
Th1 0.250 0.250 0.750 1
Mg1 0.000 0.000 0.500 1
```

Output
crystal system = cubic
total magnetization = 0.00 μB/f.u.
formation enthalpy at 0 K = 155 meV per atom

***

# CdTcAu2

An optimized crystal structure of CdTcAu2 (PBE, Alexandria).

```
data_CdTcAu2
_symmetry_space_group_name_H-M 'I m m 2'
_symmetry_Int_Tables_number 44
_symmetry_space_group_name_Hall 'I 2 -2'
_cell_length_a 2.807
_cell_length_b 5.037
_cell_length_c 10.136
_cell_angle_alpha 90.00
_cell_angle_beta 90.00
_cell_angle_gamma 90.00
loop_
_atom_site_label
_atom_site_fract_x
_atom_site_fract_y
_atom_site_fract_z
_atom_site_occupancy
Cd1 0.000 0.000 0.000 1
Tc1 0.000 0.500 0.249 1
Au1 0.000 0.000 0.510 1
Au2 0.000 0.500 0.756 1
```

Output
crystal system = orthorhombic
total magnetization = 0.63 μB/f.u.
formation enthalpy at 0 K = 298 meV per atom

***

# PrTmGaAg

An optimized crystal structure of PrTmGaAg (PBE, Alexandria).

```
data_PrTmGaAg
_symmetry_space_group_name_H-M 'F -4 3 m'
_symmetry_Int_Tables_number 216
_symmetry_space_group_name_Hall 'F -4 2 3'
_cell_length_a 7.342
_cell_length_b 7.342
_cell_length_c 7.342
_cell_angle_alpha 90.00
_cell_angle_beta 90.00
_cell_angle_gamma 90.00
loop_
_atom_site_label
_atom_site_fract_x
_atom_site_fract_y
_atom_site_fract_z
_atom_site_occupancy
Pr1 0.000 0.000 0.000 1
Tm1 0.000 0.000 0.500 1
Ga1 0.250 0.250 0.250 1
Ag1 0.250 0.250 0.750 1
```

Output
crystal system = cubic
total magnetization = 0.00 μB/f.u.
formation enthalpy at 0 K = -416 meV per atom
E above lowest polymorph = 0.09 eV/f.u.

***

# BaFe2Tc

An optimized crystal structure of BaFe2Tc (PBE, Alexandria).

```
data_BaFe2Tc
_symmetry_space_group_name_H-M 'C m m m'
_symmetry_Int_Tables_number 65
_symmetry_space_group_name_Hall '-C 2 2'
_cell_length_a 6.852
_cell_length_b 6.866
_cell_length_c 3.089
_cell_angle_alpha 90.00
_cell_angle_beta 90.00
_cell_angle_gamma 90.00
loop_
_atom_site_label
_atom_site_fract_x
_atom_site_fract_y
_atom_site_fract_z
_atom_site_occupancy
Ba1 0.000 0.000 0.000 1
Fe1 0.250 0.250 0.500 1
Tc1 0.000 0.500 0.000 1
```

Output
crystal system = orthorhombic
total magnetization = 5.92 μB/f.u.
formation enthalpy at 0 K = 1150 meV per atom
E above lowest polymorph = 2.77 eV/f.u.

***

# UGa5Ag

An optimized crystal structure of UGa5Ag (PBE, Alexandria).

```
data_UGa5Ag
_symmetry_space_group_name_H-M 'P 4/m m m'
_symmetry_Int_Tables_number 123
_symmetry_space_group_name_Hall '-P 4 2'
_cell_length_a 4.393
_cell_length_b 4.393
_cell_length_c 7.065
_cell_angle_alpha 90.00
_cell_angle_beta 90.00
_cell_angle_gamma 90.00
loop_
_atom_site_label
_atom_site_fract_x
_atom_site_fract_y
_atom_site_fract_z
_atom_site_occupancy
U1 0.000 0.000 0.000 1
Ga1 0.000 0.500 0.282 1
Ga2 0.500 0.500 0.000 1
Ag1 0.000 0.000 0.500 1
```

Output
crystal system = tetragonal
total magnetization = 2.20 μB/f.u.
formation enthalpy at 0 K = -122 meV per atom

***

# BaEuCuPt

An optimized crystal structure of BaEuCuPt (PBE, Alexandria).

```
data_BaEuCuPt
_symmetry_space_group_name_H-M 'F -4 3 m'
_symmetry_Int_Tables_number 216
_symmetry_space_group_name_Hall 'F -4 2 3'
_cell_length_a 7.524
_cell_length_b 7.524
_cell_length_c 7.524
_cell_angle_alpha 90.00
_cell_angle_beta 90.00
_cell_angle_gamma 90.00
loop_
_atom_site_label
_atom_site_fract_x
_atom_site_fract_y
_atom_site_fract_z
_atom_site_occupancy
Ba1 0.000 0.000 0.000 1
Eu1 0.000 0.000 0.500 1
Cu1 0.250 0.250 0.750 1
Pt1 0.250 0.250 0.250 1
```

Output
crystal system = cubic
total magnetization = 7.16 μB/f.u.
formation enthalpy at 0 K = -380 meV per atom

***

# Li6AcHg2

An optimized crystal structure of Li6AcHg2 (PBE, Alexandria).

```
data_Li6AcHg2
_symmetry_space_group_name_H-M 'C 1 2/m 1'
_symmetry_Int_Tables_number 12
_symmetry_space_group_name_Hall '-C 2y'
_cell_length_a 14.142
_cell_length_b 5.885
_cell_length_c 5.037
_cell_angle_alpha 90.00
_cell_angle_beta 110.40
_cell_angle_gamma 90.00
loop_
_atom_site_label
_atom_site_fract_x
_atom_site_fract_y
_atom_site_fract_z
_atom_site_occupancy
Li1 0.000 0.194 0.000 1
Li2 0.202 0.241 0.203 1
Ac1 0.000 0.500 0.500 1
Hg1 0.121 0.000 0.626 1
```

Output
crystal system = monoclinic
total magnetization = 0.00 μB/f.u.
formation enthalpy at 0 K = -128 meV per atom
E above lowest polymorph = 0.73 eV/f.u.

***

# LiCeSb2

An optimized crystal structure of LiCeSb2 (PBE, Alexandria).

```
data_LiCeSb2
_symmetry_space_group_name_H-M 'P 4/n m m'
_symmetry_Int_Tables_number 129
_cell_length_a 4.357
_cell_length_b 4.357
_cell_length_c 10.730
_cell_angle_alpha 90.00
_cell_angle_beta 90.00
_cell_angle_gamma 90.00
loop_
_symmetry_equiv_pos_as_xyz
'x,y,z'
'-x,-y,-z'
'-y+1/2,x,z'
'y+1/2,-x,-z'
'-x+1/2,-y+1/2,z'
'x+1/2,y+1/2,-z'
'y,-x+1/2,z'
'-y,x+1/2,-z'
'x+1/2,-y,-z'
'-x+1/2,y,z'
'-y,-x,-z'
'y,x,z'
'-x,y+1/2,-z'
'x,-y+1/2,z'
'y+1/2,x+1/2,-z'
'-y+1/2,-x+1/2,z'
loop_
_atom_site_label
_atom_site_fract_x
_atom_site_fract_y
_atom_site_fract_z
_atom_site_occupancy
Li1 0.250 0.750 0.000 1
Ce1 0.250 0.250 0.268 1
Sb1 0.250 0.250 0.832 1
Sb2 0.250 0.750 0.500 1
```

Output
crystal system = tetragonal
total magnetization = 0.69 μB/f.u.
E_form (uncorrected) = -0.82 eV per atom
E above lowest polymorph = 0.00 eV/f.u.